1.
A geometry-optimized Ba4ZnAg structure, computed with PBE.

Unit cell a=10.386 b=10.386 c=10.386 alpha=90.00 beta=90.00 gamma=90.00
Space group F-43m (No. 216)
Unique sites:
Ba  0.125  0.125  0.125 (multiplicity 16)
Zn  0.250  0.250  0.750 (multiplicity 4)
Ag  0.000  0.000  0.500 (multiplicity 4)

Distance to the lowest polymorph of the same formula, eV/atom: 0.690
Magnetization, μB per formula unit: 0.0
Volume, A^3/atom: 46.7
Energy relative to the elements, eV per atom: 0.54
N(E_F), states/eV per atom: 1.713

---

2.
A geometry-optimized Ba3Zn4Ag2 structure, computed with PBE.

Unit cell a=12.238 b=4.761 c=9.338 alpha=90.00 beta=103.36 gamma=90.00
Space group C2/m (No. 12)
Unique sites:
Ba  0.000  0.000  0.000 (multiplicity 2)
Ba  0.167  0.500  0.666 (multiplicity 4)
Zn  0.054  0.000  0.389 (multiplicity 4)
Zn  0.225  0.500  0.052 (multiplicity 4)
Ag  0.111  0.500  0.276 (multiplicity 4)

Magnetization, μB per formula unit: 0.0
Volume, A^3/atom: 29.4
Energy relative to the elements, eV per atom: -0.23
N(E_F), states/eV per atom: 0.631

---

| no. | calculated total energy (eV per atom) |
| --- | --- |
| 1 | -1.43 |
| 2 | -2.07 |